The following is a DFT calculation (PBE) of LaTiB3 after structural relaxation.

Values from the calculation:
E ... -21.8 eV/cell
V ... 17.9 A^3/atom
Polymorph energy (0 for the lowest one) ... 1842 meV/atom
Magnetization ... 0.000 μB per atom
ΔH_f (0 K) ... 1062 kJ/mol of formula units

The structure in CIF format:
```
data_LaTiB3
_cell_length_a 4.473
_cell_length_b 4.473
_cell_length_c 4.473
_cell_angle_alpha 90.00
_cell_angle_beta 90.00
_cell_angle_gamma 90.00
_symmetry_space_group_name_H-M 'P 1'
_symmetry_Int_Tables_number 1
loop_
_symmetry_equiv_pos_as_xyz
'x,y,z'
loop_
_atom_site_label
_atom_site_type_symbol
_atom_site_fract_x
_atom_site_fract_y
_atom_site_fract_z
Ti1 Ti 0.500 0.500 0.500
B1 B 0.000 0.500 0.000
B2 B 0.500 0.000 0.000
B3 B 0.000 0.000 0.500
La1 La 0.000 0.000 0.000
```

The following is a DFT calculation (PBE) of La2PrTm after structural relaxation.

Values from the calculation:
E ... -18.7 eV/cell
V ... 35.5 A^3/atom
Polymorph energy (0 for the lowest one) ... 98 meV/atom
Magnetization ... 0.000 μB per atom
ΔH_f (0 K) ... 42 kJ/mol of formula units

The structure in CIF format:
```
data_La2PrTm
_cell_length_a 5.858
_cell_length_b 5.858
_cell_length_c 5.858
_cell_angle_alpha 60.00
_cell_angle_beta 60.00
_cell_angle_gamma 60.00
_symmetry_space_group_name_H-M 'P 1'
_symmetry_Int_Tables_number 1
loop_
_symmetry_equiv_pos_as_xyz
'x,y,z'
loop_
_atom_site_label
_atom_site_type_symbol
_atom_site_fract_x
_atom_site_fract_y
_atom_site_fract_z
Pr1 Pr 0.500 0.500 0.500
Tm1 Tm 0.000 0.000 0.000
La1 La 0.750 0.750 0.750
La2 La 0.250 0.250 0.250
```